First-principles (GGA+U) data for crystalline CsNiF at its relaxed geometry, as listed in the Alexandria database.

Cell lengths 4.095, 4.586, 8.620 Å; angles 105.45, 89.98, 89.99 degrees
Sites, in units of the cell vectors:
Ni 0.754 0.698 0.567
Cs 0.256 0.084 0.338
Ni 0.254 0.778 0.727
Cs 0.756 0.391 0.956
F 0.256 0.901 0.976
F 0.756 0.573 0.318

- Spin magnetization: 0.333 μB/atom
- Energy relative to the lowest polymorph listed for this composition: 0.7 kJ/mol of atoms